The following is a DFT calculation (PBE-GGA) of a relaxed LuSnPd crystal.

Cell lengths 8.1352, 8.1352, 3.3648 Å; angles 90.00, 90.00, 120.00 degrees
Last column: nearest neighbours and their distance in Å.
Fractional coordinates of all 9 atoms:
Pd 0.6385 0.0000 0.5000  5 Sn 2.94-3.10, 6 Lu 3.19-3.27
Pd 0.0000 0.6385 0.5000  5 Sn 2.94-3.10, 6 Lu 3.19-3.27
Lu 0.7058 0.7058 0.0000  4 Sn 2.88-2.93, 4 Pd 3.19
Sn 0.6667 0.3333 0.0000  3 Lu 2.88, 6 Pd 3.10
Sn 0.3333 0.6667 0.0000  3 Lu 2.88, 6 Pd 3.10
Lu 0.0000 0.2942 0.0000  4 Sn 2.88-2.93, 4 Pd 3.19
Lu 0.2942 0.0000 0.0000  4 Sn 2.88-2.93, 4 Pd 3.19
Pd 0.3615 0.3615 0.5000  5 Sn 2.94-3.10, 6 Lu 3.19-3.27
Sn 0.0000 0.0000 0.5000  6 Lu 2.93, 3 Pd 2.94

Calculated values
**Space-group type**: P-62m (189)
**E_tot**: -5.085 eV per atom

=====

The following is a DFT calculation (PBE-GGA) of a relaxed HoTmZn6 crystal.

Cell lengths 4.6445, 6.5442, 4.6444 Å; angles 90.00, 90.00, 90.00 degrees
Last column: nearest neighbours and their distance in Å.
Fractional coordinates of all 8 atoms:
Zn 0.5000 0.2519 0.2451  2 Tm 2.83-2.84, 4 Zn 2.83-2.86, 2 Ho 2.85
Zn 0.5000 0.7481 0.2451  2 Tm 2.83-2.84, 4 Zn 2.83-2.86, 2 Ho 2.85
Zn 0.5000 0.0000 0.7474  8 Zn 2.84-2.86
Zn 0.0000 0.2519 0.7548  4 Zn 2.83-2.85, 2 Tm 2.83, 2 Ho 2.84-2.85
Ho 0.0000 0.0000 0.2536  8 Zn 2.84-2.85
Zn 0.0000 0.7481 0.7548  4 Zn 2.83-2.85, 2 Tm 2.83, 2 Ho 2.84-2.85
Zn 0.0000 0.5000 0.2528  8 Zn 2.83-2.84
Tm 0.5000 0.5000 0.7462  8 Zn 2.83-2.84

Calculated values
**Space-group type**: Pmm2 (25)
**ΔH_f (0 K)**: -286 meV/atom

=====

The following is a DFT calculation (PBE-GGA) of a relaxed ErNbW crystal.

Cell lengths 4.5838, 4.5838, 4.5838 Å; angles 60.00, 60.00, 60.00 degrees
Last column: nearest neighbours and their distance in Å.
Fractional coordinates of all 3 atoms:
Er 0.2500 0.2500 0.2500  4 Nb 2.81
W 0.7500 0.7500 0.7500  4 Nb 2.81
Nb 0.0000 0.0000 0.0000  4 W 2.81, 4 Er 2.81

Calculated values
**Space-group type**: F-43m (216)
**ΔH_f (0 K)**: 934 meV/atom

=====

The following is a DFT calculation (PBE-GGA) of a relaxed LuGaCu crystal.

Cell lengths 4.5601, 4.5601, 4.5601 Å; angles 60.00, 60.00, 60.00 degrees
Last column: nearest neighbours and their distance in Å.
Fractional coordinates of all 3 atoms:
Cu 0.2500 0.2500 0.2500  4 Lu 2.79
Lu 0.0000 0.0000 0.0000  4 Ga 2.79, 4 Cu 2.79
Ga 0.7500 0.7500 0.7500  4 Lu 2.79

Calculated values
**Space-group type**: F-43m (216)
**E_tot**: -3.542 eV per atom

=====

The following is a DFT calculation (PBE-GGA) of a relaxed InB4Ir crystal.

Cell lengths 4.8523, 4.8523, 4.8523 Å; angles 143.21, 114.06, 77.96 degrees
Last column: nearest neighbours and their distance in Å.
Fractional coordinates of all 6 atoms:
B 0.4191 0.7522 0.6669  3 B 1.76-1.77
B 0.5809 0.2478 0.3331  3 B 1.76-1.77
In 0.5000 0.5000 0.0000  12 B 2.57-2.59
B 0.9147 0.2478 0.6669  3 B 1.76-1.77
Ir 0.0000 0.0000 0.0000  12 B 2.57-2.60
B 0.0853 0.7522 0.3331  3 B 1.76-1.77

Calculated values
**Energy above the most stable polymorph in this dataset**: 54 meV per atom
**Space-group type**: Immm (71)

=====

The following is a DFT calculation (PBE-GGA) of a relaxed TmSiSn crystal.

Cell lengths 4.8512, 4.8512, 4.8512 Å; angles 60.00, 60.00, 60.00 degrees
Last column: nearest neighbours and their distance in Å.
Fractional coordinates of all 3 atoms:
Si 0.2500 0.2500 0.2500  4 Tm 2.97
Sn 0.7500 0.7500 0.7500  4 Tm 2.97
Tm 0.0000 0.0000 0.0000  4 Si 2.97, 4 Sn 2.97

Calculated values
**Energy above the most stable polymorph in this dataset**: 135 meV per atom
**Space-group type**: F-43m (216)

=====

The following is a DFT calculation (PBE-GGA) of a relaxed Hf4B3Sb crystal.

Cell lengths 3.4473, 3.4473, 25.4151 Å; angles 90.00, 90.00, 120.00 degrees
Last column: nearest neighbours and their distance in Å.
Fractional coordinates of all 16 atoms:
Sb 0.3333 0.6667 0.2500  6 Hf 3.05
B 0.3333 0.6667 0.6116  6 Hf 2.33-2.44
B 0.0000 0.0000 0.0000  6 Hf 2.45
B 0.6667 0.3333 0.3884  6 Hf 2.33-2.44
Hf 0.0000 0.0000 0.8409  3 B 2.33
B 0.6667 0.3333 0.1116  6 Hf 2.33-2.44
Hf 0.3333 0.6667 0.4439  6 B 2.44-2.45
Sb 0.6667 0.3333 0.7500  6 Hf 3.05
Hf 0.0000 0.0000 0.6591  3 B 2.33
Hf 0.0000 0.0000 0.3409  3 B 2.33
Hf 0.6667 0.3333 0.5561  6 B 2.44-2.45
Hf 0.3333 0.6667 0.0561  6 B 2.44-2.45
B 0.3333 0.6667 0.8884  6 Hf 2.33-2.44
Hf 0.6667 0.3333 0.9439  6 B 2.44-2.45
Hf 0.0000 0.0000 0.1591  3 B 2.33
B 0.0000 0.0000 0.5000  6 Hf 2.45

Calculated values
**Space-group type**: P6_3/mmc (194)
**E_tot**: -8.544 eV per atom

=====

The following is a DFT calculation (PBE-GGA) of a relaxed AlFeRePt crystal.

Cell lengths 4.3173, 4.3173, 4.3173 Å; angles 60.00, 60.00, 60.00 degrees
Last column: nearest neighbours and their distance in Å.
Fractional coordinates of all 4 atoms:
Pt 0.2500 0.2500 0.2500  4 Al 2.64, 4 Re 2.64
Fe 0.7500 0.7500 0.7500  4 Re 2.64, 4 Al 2.64
Re 0.5000 0.5000 0.5000  4 Fe 2.64, 4 Pt 2.64
Al 0.0000 0.0000 0.0000  4 Pt 2.64, 4 Fe 2.64

Calculated values
**Energy above the most stable polymorph in this dataset**: 0 meV per atom
**Space-group type**: F-43m (216)

=====

Please write out number 3 again, unchanged.
The following is a DFT calculation (PBE-GGA) of a relaxed ErNbW crystal.

Cell lengths 4.5838, 4.5838, 4.5838 Å; angles 60.00, 60.00, 60.00 degrees
Last column: nearest neighbours and their distance in Å.
Fractional coordinates of all 3 atoms:
Er 0.2500 0.2500 0.2500  4 Nb 2.81
W 0.7500 0.7500 0.7500  4 Nb 2.81
Nb 0.0000 0.0000 0.0000  4 W 2.81, 4 Er 2.81

Calculated values
**Space-group type**: F-43m (216)
**ΔH_f (0 K)**: 934 meV/atom